18
Lattice="9.114 0.000 0.000 -4.557 8.968 -2.488 0.000 -0.873 7.077" Properties=species:S:1:pos:R:3 comment="Dy3HoTm5, optimized geometry, DFT GGA-PBE" sg="Imma (74)" ef_mev_per_atom=134 e_tot_ev_per_atom=-4.393 pbc="T T T"
Dy 0.000 0.000 0.000
Dy 4.567 5.069 2.421
Dy 0.000 -0.437 3.539
Dy -0.010 3.026 2.169
Dy 4.547 5.506 -1.118
Dy 0.010 2.589 5.707
Ho 6.360 -0.655 5.308
Ho 2.753 -0.218 1.769
Tm 3.104 -0.655 5.308
Tm 1.663 5.344 4.238
Tm 6.218 2.754 0.329
Tm 2.894 2.751 0.352
Tm 1.661 5.777 0.722
Tm 6.009 -0.218 1.769
Tm -1.663 5.780 0.699
Tm 6.220 2.315 3.891
Tm 2.896 2.318 3.868
Tm -1.661 5.341 4.261

4
Lattice="3.089 0.000 0.000 0.000 5.205 -0.002 0.000 3.612 4.994" Properties=species:S:1:pos:R:3 comment="BaIr2Au, optimized geometry, DFT GGA-PBE" sg="P2/m (10)" ef_mev_per_atom=576 e_tot_ev_per_atom=-5.154 pbc="T T T"
Ir 0.000 0.000 0.000
Ir 1.545 2.603 -0.001
Au 1.545 4.409 2.496
Ba 0.000 1.806 2.497

7
Lattice="5.589 0.000 0.000 0.000 5.589 0.000 -2.795 -2.795 7.864" Properties=species:S:1:pos:R:3 comment="Ba2CaSe2Cl2, optimized geometry, DFT GGA-PBE" sg="I4/mmm (139)" e_tot_ev_per_atom=-4.468 pbc="T T T"
Ba 0.000 0.000 5.930
Ba 2.795 2.795 1.934
Ca 0.000 0.000 0.000
Se 0.000 2.795 0.000
Se 2.795 0.000 0.000
Cl 0.000 0.000 2.904
Cl 2.795 2.795 4.960

15
Lattice="-4.333 -0.444 6.352 1.199 -6.049 5.065 -0.980 5.263 4.368" Properties=species:S:1:pos:R:3 comment="TaAl4Zn10, optimized geometry, DFT GGA-PBE" sg="C2/m (12)" ef_mev_per_atom=33 e_tot_ev_per_atom=-2.604 pbc="T T T"
Ta 0.000 0.000 0.000
Al -1.012 -3.013 8.437
Al -3.641 0.315 11.546
Al -0.472 -1.546 4.239
Al -3.101 1.783 7.347
Zn -1.371 -0.545 6.886
Zn -3.663 2.648 10.079
Zn -0.714 0.803 2.670
Zn -1.944 -1.884 10.981
Zn -3.285 -4.169 9.861
Zn -0.450 -3.879 5.705
Zn -2.743 -0.685 8.898
Zn -0.828 2.938 5.923
Zn -2.169 0.654 4.803
Zn -3.399 -2.033 13.114

4
Lattice="-4.127 1.138 2.835 -4.680 -1.362 -1.615 -2.564 -3.735 2.417" Properties=species:S:1:pos:R:3 comment="CrBr3, optimized geometry, DFT GGA-PBE" sg="Fm-3m (225)" e_tot_ev_per_atom=-3.350 pbc="T T T"
Cr 0.000 0.000 0.000
Br -2.843 -0.990 0.909
Br -8.528 -2.969 2.727
Br -5.685 -1.979 1.818

8
Lattice="-3.890 0.239 0.844 -0.057 -6.614 1.610 1.706 3.957 6.745" Properties=species:S:1:pos:R:3 comment="Pr4NiHBr2, optimized geometry, DFT GGA-PBE" sg="P2/m (10)" e_tot_ev_per_atom=-4.699 pbc="T T T"
Pr -1.625 -0.736 2.143
Pr -0.617 -1.681 7.056
Pr 1.351 1.376 5.839
Pr 0.298 -4.032 2.516
Ni 0.000 0.000 0.000
H -1.974 -3.187 1.227
Br -1.092 2.098 3.794
Br 0.825 -1.328 4.177

7
Lattice="4.341 0.000 0.000 0.000 7.729 0.409 -2.170 -1.605 7.054" Properties=species:S:1:pos:R:3 comment="Tb3Sb2I2, optimized geometry, DFT GGA-PBE" sg="C2/m (12)" e_tot_ev_per_atom=-4.711 pbc="T T T"
Tb 0.000 0.000 0.000
Tb 0.000 5.254 3.836
Tb 2.170 0.870 3.627
Sb 0.000 -0.152 5.457
Sb 2.170 6.277 2.006
I 0.000 2.542 1.953
I 2.170 3.582 5.510

6
Lattice="3.324 -4.072 0.750 -0.416 -2.998 4.362 -1.786 -4.986 -0.367" Properties=species:S:1:pos:R:3 comment="TlInOs4, optimized geometry, DFT GGA-PBE" sg="F-43m (216)" ef_mev_per_atom=914 e_tot_ev_per_atom=-7.423 pbc="T T T"
Tl 0.841 -9.042 3.558
In 0.000 0.000 0.000
Os 2.084 -6.558 2.154
Os -0.473 -7.015 1.595
Os 0.212 -6.020 3.962
Os 0.420 -4.519 1.779

Question: Which formula does entry 7 have?
Answer: Tb3Sb2I2

Question: What is the formula in the second record?
Answer: BaIr2Au